[1]
Here is an optimized crystal structure of AgAs2I8 from Alexandria via LeMat-Bulk. Energies are from PBE.

The density of states at the Fermi level comes out at 11.44 states/eV/cell. The calculation puts the formation energy (no corrections) at -0.91 eV per formula unit. Its total magnetic moment is 0.000 μB/atom.

It has space group C2/m (No. 12), with a = 14.157 Å, b = 11.440 Å, c = 7.206 Å, α = 90.00°, β = 101.12° and γ = 90.00°. The inequivalent atoms are Ag at (0.000, 0.000, 0.000), As at (0.202, 0.000, 0.693), I at (0.106, 0.182, 0.798), I at (0.108, 0.500, 0.118) and I at (0.180, 0.000, 0.313).

=====

[2]
Here is an optimized crystal structure of Mg2In3Ag8 from Alexandria via LeMat-Bulk. Energies are from PBE.

For the distance to the lowest polymorph of the same formula, the calculation gives 0 meV/atom. Its calculated formation energy is -16 kJ/mol of formula units. The density of states at the Fermi level comes out at 3.01 states/eV/cell. Its total magnetic moment is 0.000 μB/atom.

It has space group P2/m (No. 10), with a = 7.072 Å, b = 4.258 Å, c = 9.048 Å, α = 90.00°, β = 105.96° and γ = 90.00°. The inequivalent atoms are Mg at (0.216, 0.000, 0.082), In at (0.217, 0.500, 0.599), In at (0.500, 0.000, 0.500), Ag at (0.067, 0.000, 0.354), Ag at (0.073, 0.500, 0.870), Ag at (0.353, 0.500, 0.278) and Ag at (0.373, 0.000, 0.833).

=====

[3]
Here is an optimized crystal structure of Sm2Er2Sc3 from Alexandria via LeMat-Bulk. Energies are from PBE.

Its calculated formation energy is 100 kJ/mol of formula units. The density of states at the Fermi level comes out at 25.51 states/eV/cell. Its total magnetic moment is 0.000 μB/atom.

It has space group C2/m (No. 12), with a = 16.855 Å, b = 3.392 Å, c = 8.240 Å, α = 90.00°, β = 119.17° and γ = 90.00°. The inequivalent atoms are Sm at (0.069, 0.000, 0.232), Er at (0.150, 0.500, 0.965), Sc at (0.000, 0.500, 0.500) and Sc at (0.212, 0.500, 0.620).

=====

Number 1: E -2.315 eV/atom. Number 2: E -2.645 eV/atom. Number 3: E -5.217 eV/atom.